TcMo2As2 (PBE-GGA, optimized geometry); V = 15.6 A^3/atom; crystal system = tetragonal; ΔE_f = 0.147 eV per atom; DFT total energy = -8.119 eV/atom
1.0
6.963 0.000 0.000
0.000 6.963 0.000
0.000 0.000 3.215
Tc Mo As
2 4 4
direct
0.000 0.000 0.000
0.500 0.500 0.000
0.140 0.360 0.500
0.360 0.860 0.500
0.640 0.140 0.500
0.860 0.640 0.500
0.159 0.659 0.000
0.341 0.159 0.000
0.659 0.841 0.000
0.841 0.341 0.000



AlZnTc2 (PBE-GGA, optimized geometry); V = 14.2 A^3/atom; crystal system = cubic; ΔE_f = 0.047 eV per atom; DFT total energy = -6.390 eV/atom
1.0
0.000 3.052 3.052
3.052 0.000 3.052
3.052 3.052 0.000
Al Zn Tc
1 1 2
direct
0.000 0.000 0.000
0.500 0.500 0.500
0.250 0.250 0.250
0.750 0.750 0.750



TbAgHgCl6 (PBE-GGA, optimized geometry); V = 27.5 A^3/atom; crystal system = trigonal; DFT total energy = -3.369 eV/atom; raw formation energy = -122.82 kJ/mol of atoms
1.0
6.802 0.000 0.000
-3.401 5.891 0.000
0.000 0.000 12.344
Tb Ag Hg Cl
2 2 2 12
direct
0.333 0.667 0.250
0.667 0.333 0.750
0.000 0.000 0.000
0.000 0.000 0.500
0.333 0.667 0.750
0.667 0.333 0.250
0.006 0.347 0.127
0.006 0.659 0.373
0.341 0.347 0.373
0.341 0.994 0.127
0.347 0.006 0.627
0.347 0.341 0.873
0.653 0.659 0.127
0.653 0.994 0.373
0.659 0.006 0.873
0.659 0.653 0.627
0.994 0.341 0.627
0.994 0.653 0.873



AlH3O3 (PBE-GGA, optimized geometry); V = 7.6 A^3/atom; crystal system = monoclinic; DFT total energy = -5.840 eV/atom
1.0
2.474 -4.517 0.000
2.474 4.517 0.000
-0.021 0.000 4.752
Al H O
2 6 6
direct
0.163 0.837 0.000
0.837 0.163 0.000
0.328 0.552 0.726
0.333 0.333 0.244
0.501 0.948 0.407
0.552 0.328 0.726
0.919 0.919 0.588
0.948 0.501 0.407
0.123 0.508 0.767
0.137 0.137 0.214
0.496 0.870 0.216
0.508 0.123 0.767
0.851 0.851 0.782
0.870 0.496 0.216



Density of states at the Fermi level values (in states/eV/cell) by entry order: 15.24 6.32 0.00 0.00.